Entry 1:
A plane-wave DFT calculation with PBE was carried out for Ta2B2Ir after structural relaxation.

Computed properties:
- symmetry = No. 127
- formation energy (eV per atom) = -0.702
- E above lowest polymorph (eV/atom) = 0.002
- final energy (eV/atom) = -9.8866
- Fermi-level density of states (states/eV/f.u.) = 2.5

a = 5.7541 Å, b = 5.7541 Å, c = 3.6609 Å
α = 90.00°, β = 90.00°, γ = 90.00°
Atoms (fractional coordinates):
Ir  0.5000  0.5000  0.0000
Ir  0.0000  0.0000  0.0000
Ta  0.6735  0.8265  0.5000
Ta  0.3265  0.1735  0.5000
Ta  0.1735  0.6735  0.5000
Ta  0.8265  0.3265  0.5000
B  0.6160  0.1160  0.0000
B  0.8840  0.6160  0.0000
B  0.3840  0.8840  0.0000
B  0.1160  0.3840  0.0000

Entry 2:
A plane-wave DFT calculation with PBE was carried out for TbB4Ir12 after structural relaxation.

Computed properties:
- symmetry = No. 204
- formation energy (eV per atom) = 0.113
- final energy (eV/atom) = -7.9856
- Fermi-level density of states (states/eV/f.u.) = 27.8

a = 6.7797 Å, b = 6.7797 Å, c = 6.7797 Å
α = 109.47°, β = 109.47°, γ = 109.47°
Atoms (fractional coordinates):
Ir  0.1528  0.8299  0.3229
Ir  0.4930  0.1701  0.3229
Ir  0.5070  0.8299  0.6771
Ir  0.3229  0.1528  0.8299
Ir  0.8299  0.3229  0.1528
Ir  0.8299  0.6771  0.5070
Ir  0.3229  0.4930  0.1701
Ir  0.8472  0.1701  0.6771
Ir  0.1701  0.6771  0.8472
Ir  0.1701  0.3229  0.4930
Ir  0.6771  0.8472  0.1701
Ir  0.6771  0.5070  0.8299
Tb  0.0000  0.0000  0.0000
B  0.5000  0.0000  0.0000
B  0.0000  0.0000  0.5000
B  0.0000  0.5000  0.0000
B  0.5000  0.5000  0.5000

Entry 3:
A plane-wave DFT calculation with PBE was carried out for TbB2Ir2 after structural relaxation.

Computed properties:
- symmetry = No. 141
- formation energy (eV per atom) = -0.399
- final energy (eV/atom) = -7.5399
- Fermi-level density of states (states/eV/f.u.) = 2.3

a = 8.2869 Å, b = 8.2869 Å, c = 8.2869 Å
α = 133.93°, β = 133.93°, γ = 67.20°
Atoms (fractional coordinates):
Ir  0.5101  0.7207  0.7895
Ir  0.9312  0.7207  0.2105
Ir  0.4707  0.7601  0.2895
Ir  0.4707  0.1812  0.7105
Ir  0.2399  0.5293  0.7105
Ir  0.8188  0.5293  0.2895
Ir  0.2793  0.0688  0.7895
Ir  0.2793  0.4899  0.2105
B  0.2169  0.8601  0.3569
B  0.5032  0.8601  0.6431
B  0.1399  0.7831  0.6431
B  0.1399  0.4968  0.3569
B  0.5331  0.3899  0.1431
B  0.2468  0.3899  0.8569
B  0.6101  0.4669  0.8569
B  0.6101  0.7532  0.1431
Tb  0.8750  0.1250  0.7500
Tb  0.8750  0.6250  0.7500
Tb  0.8750  0.1250  0.2500
Tb  0.3750  0.1250  0.2500

Entry 4:
A plane-wave DFT calculation with PBE was carried out for Tb3B7Ir after structural relaxation.

Computed properties:
- symmetry = No. 63
- formation energy (eV per atom) = -0.592
- final energy (eV/atom) = -6.9092
- Fermi-level density of states (states/eV/f.u.) = 1.8

a = 3.5078 Å, b = 8.1127 Å, c = 9.4170 Å
α = 90.00°, β = 90.00°, γ = 102.49°
Atoms (fractional coordinates):
Ir  0.0537  0.1073  0.7500
Ir  0.9463  0.8927  0.2500
Tb  0.7535  0.5070  0.2500
Tb  0.2465  0.4930  0.7500
Tb  0.8935  0.7870  0.5604
Tb  0.1065  0.2130  0.4396
Tb  0.1065  0.2130  0.0604
Tb  0.8935  0.7870  0.9396
B  0.5210  0.0420  0.5963
B  0.7271  0.4541  0.5331
B  0.6330  0.2661  0.8483
B  0.2729  0.5459  0.4669
B  0.4573  0.9147  0.7500
B  0.3670  0.7339  0.1517
B  0.2729  0.5459  0.0331
B  0.4790  0.9580  0.4037
B  0.4790  0.9580  0.0963
B  0.6330  0.2661  0.6517
B  0.3670  0.7339  0.3483
B  0.7271  0.4541  0.9669
B  0.5210  0.0420  0.9037
B  0.5427  0.0853  0.2500

Entry 5:
A plane-wave DFT calculation with PBE was carried out for TbB2Ir2 after structural relaxation.

Computed properties:
- symmetry = No. 70
- formation energy (eV per atom) = -0.736
- final energy (eV/atom) = -7.8772
- Fermi-level density of states (states/eV/f.u.) = 2.7

a = 5.5129 Å, b = 5.5129 Å, c = 6.1487 Å
α = 105.04°, β = 105.04°, γ = 114.90°
Atoms (fractional coordinates):
B  0.4430  0.5570  0.7500
B  0.1933  0.8067  0.2500
B  0.8067  0.1933  0.7500
B  0.5570  0.4430  0.2500
Ir  0.5036  0.7536  0.5073
Ir  0.4964  0.2464  0.4927
Ir  0.7536  0.5036  0.0073
Ir  0.2464  0.4964  0.9927
Tb  0.1250  0.8750  0.7500
Tb  0.8750  0.1250  0.2500

Entry 6:
A plane-wave DFT calculation with PBE was carried out for TbB4Ir4 after structural relaxation.

Computed properties:
- symmetry = No. 86
- formation energy (eV per atom) = -0.556
- E above lowest polymorph (eV/atom) = 0.000
- final energy (eV/atom) = -7.9763
- Fermi-level density of states (states/eV/f.u.) = 2.9

a = 7.6476 Å, b = 7.6476 Å, c = 3.9917 Å
α = 90.00°, β = 90.00°, γ = 90.00°
Atoms (fractional coordinates):
B  0.6576  0.2220  0.6111
B  0.7780  0.6576  0.3889
B  0.1576  0.7220  0.8889
B  0.2780  0.1576  0.1111
B  0.3424  0.7780  0.6111
B  0.7220  0.8424  0.1111
B  0.2220  0.3424  0.3889
B  0.8424  0.2780  0.8889
Ir  0.8399  0.3905  0.3876
Ir  0.3399  0.8905  0.1124
Ir  0.8905  0.6601  0.8876
Ir  0.6601  0.1095  0.1124
Ir  0.1095  0.3399  0.8876
Ir  0.6095  0.8399  0.6124
Ir  0.3905  0.1601  0.6124
Ir  0.1601  0.6095  0.3876
Tb  0.5000  0.5000  0.0000
Tb  0.0000  0.0000  0.5000

Entry 7:
A plane-wave DFT calculation with PBE was carried out for TbB3Ir5 after structural relaxation.

Computed properties:
- symmetry = No. 63
- formation energy (eV per atom) = -0.243
- final energy (eV/atom) = -7.9063
- Fermi-level density of states (states/eV/f.u.) = 5.3

a = 3.3662 Å, b = 5.1903 Å, c = 14.8893 Å
α = 90.00°, β = 90.00°, γ = 108.92°
Atoms (fractional coordinates):
Tb  0.7965  0.5929  0.7500
Tb  0.2035  0.4071  0.2500
Ir  0.2535  0.5071  0.9158
Ir  0.0000  0.0000  0.5000
Ir  0.7465  0.4929  0.4158
Ir  0.5218  0.0436  0.6598
Ir  0.4782  0.9564  0.3402
Ir  0.0000  0.0000  0.0000
Ir  0.4782  0.9564  0.1598
Ir  0.2535  0.5071  0.5842
Ir  0.5218  0.0436  0.8402
Ir  0.7465  0.4929  0.0842
B  0.9483  0.8965  0.2500
B  0.6369  0.2738  0.5396
B  0.6369  0.2738  0.9604
B  0.3631  0.7262  0.0396
B  0.0517  0.1035  0.7500
B  0.3631  0.7262  0.4604

Entry 8:
A plane-wave DFT calculation with PBE was carried out for Tb2B7Ir12 after structural relaxation.

Computed properties:
- symmetry = No. 174
- formation energy (eV per atom) = -0.411
- final energy (eV/atom) = -8.1414
- Fermi-level density of states (states/eV/f.u.) = 8.9

a = 3.9536 Å, b = 8.9315 Å, c = 8.9315 Å
α = 120.00°, β = 90.00°, γ = 90.00°
Atoms (fractional coordinates):
Tb  0.0000  0.6667  0.3333
Tb  0.5000  0.0000  0.0000
B  0.0000  0.0110  0.7806
B  0.5000  0.4533  0.0660
B  0.5000  0.9340  0.3873
B  0.0000  0.2194  0.2305
B  0.0000  0.3333  0.6667
B  0.5000  0.6127  0.5467
B  0.0000  0.7695  0.9890
Ir  0.5000  0.2560  0.8006
Ir  0.0000  0.9810  0.2427
Ir  0.5000  0.5446  0.7440
Ir  0.0000  0.0675  0.5744
Ir  0.5000  0.3856  0.2686
Ir  0.0000  0.7573  0.7384
Ir  0.5000  0.8830  0.6144
Ir  0.5000  0.7314  0.1170
Ir  0.0000  0.2616  0.0190
Ir  0.0000  0.5069  0.9325
Ir  0.5000  0.1994  0.4554
Ir  0.0000  0.4256  0.4931

Entry 9:
A plane-wave DFT calculation with PBE was carried out for TbB2Ir2 after structural relaxation.

Computed properties:
- symmetry = No. 139
- formation energy (eV per atom) = -0.023
- final energy (eV/atom) = -7.1649
- Fermi-level density of states (states/eV/f.u.) = 2.9

a = 3.9911 Å, b = 3.9911 Å, c = 6.6574 Å
α = 107.44°, β = 107.44°, γ = 90.00°
Atoms (fractional coordinates):
Ir  0.7500  0.2500  0.5000
Ir  0.2500  0.7500  0.5000
B  0.1972  0.1972  0.3945
B  0.8028  0.8028  0.6055
Tb  0.0000  0.0000  0.0000

Entry 10:
A plane-wave DFT calculation with PBE was carried out for TbB4Ir8 after structural relaxation.

Computed properties:
- symmetry = No. 166
- formation energy (eV per atom) = -0.055
- final energy (eV/atom) = -7.9191
- Fermi-level density of states (states/eV/f.u.) = 3.0

a = 5.4648 Å, b = 5.4648 Å, c = 8.5927 Å
α = 71.46°, β = 71.46°, γ = 60.00°
Atoms (fractional coordinates):
Ir  0.7320  0.7320  0.8040
Ir  0.2680  0.2680  0.1960
Ir  0.2667  0.7714  0.1905
Ir  0.7714  0.7714  0.1905
Ir  0.2286  0.7333  0.8095
Ir  0.7714  0.2667  0.1905
Ir  0.7333  0.2286  0.8095
Ir  0.2286  0.2286  0.8095
B  0.0000  0.5000  0.0000
B  0.5000  0.0000  0.0000
B  0.0000  0.0000  0.0000
B  0.5000  0.5000  0.0000
Tb  0.5000  0.5000  0.5000

Entry 11:
A plane-wave DFT calculation with PBE was carried out for TbB4Ir after structural relaxation.

Computed properties:
- symmetry = No. 55
- formation energy (eV per atom) = -0.595
- final energy (eV/atom) = -7.2949
- Fermi-level density of states (states/eV/f.u.) = 0.9

a = 3.5865 Å, b = 5.9869 Å, c = 11.6182 Å
α = 90.00°, β = 90.00°, γ = 90.00°
Atoms (fractional coordinates):
B  0.5000  0.6119  0.9536
B  0.5000  0.4757  0.1918
B  0.5000  0.1370  0.9691
B  0.5000  0.3881  0.0464
B  0.5000  0.6370  0.5309
B  0.5000  0.3630  0.4691
B  0.5000  0.2903  0.3126
B  0.5000  0.8881  0.4536
B  0.5000  0.5243  0.8082
B  0.5000  0.2097  0.8126
B  0.5000  0.0243  0.6918
B  0.5000  0.7097  0.6874
B  0.5000  0.8630  0.0309
B  0.5000  0.9757  0.3082
B  0.5000  0.1119  0.5464
B  0.5000  0.7903  0.1874
Tb  0.0000  0.1310  0.1487
Tb  0.0000  0.6310  0.3513
Tb  0.0000  0.8690  0.8513
Tb  0.0000  0.3690  0.6487
Ir  0.0000  0.6438  0.0965
Ir  0.0000  0.3562  0.9035
Ir  0.0000  0.1438  0.4035
Ir  0.0000  0.8562  0.5965

Entry 12:
A plane-wave DFT calculation with PBE was carried out for TbB3Ir3 after structural relaxation.

Computed properties:
- symmetry = No. 223
- formation energy (eV per atom) = -0.389
- E above lowest polymorph (eV/atom) = 0.000
- final energy (eV/atom) = -7.7093
- Fermi-level density of states (states/eV/f.u.) = 2.0

a = 5.8800 Å, b = 5.8800 Å, c = 5.8800 Å
α = 90.00°, β = 90.00°, γ = 90.00°
Atoms (fractional coordinates):
Ir  0.5000  0.0000  0.2500
Ir  0.2500  0.5000  0.0000
Ir  0.7500  0.5000  0.0000
Ir  0.0000  0.7500  0.5000
Ir  0.0000  0.2500  0.5000
Ir  0.5000  0.0000  0.7500
B  0.0000  0.5000  0.2500
B  0.5000  0.7500  0.0000
B  0.5000  0.2500  0.0000
B  0.0000  0.5000  0.7500
B  0.2500  0.0000  0.5000
B  0.7500  0.0000  0.5000
Tb  0.5000  0.5000  0.5000
Tb  0.0000  0.0000  0.0000